[1]
A plane-wave DFT calculation with meta-GGA SCAN was carried out for a crystal of SiP2Os relaxed with PBEsol.

Structure (POSCAR):
```
SiP2Os
1.0
3.887 -1.445 0.000
3.887 1.445 0.000
-1.044 0.000 5.641
Si P Os
1 2 1
Cartesian
0.000 0.000 0.000
1.131 0.000 4.699
3.308 0.000 2.259
5.595 0.000 1.039
```

## Properties
Density of states at the Fermi level, states/eV/cell: 1.5
Electronic total energy, eV per cell: -101.779

=====

[2]
A plane-wave DFT calculation with meta-GGA SCAN was carried out for a crystal of Si4P4Os relaxed with PBEsol.

Structure (POSCAR):
```
Si4P4Os
1.0
4.941 0.000 0.000
1.825 5.296 0.000
2.272 -0.293 5.730
Si P Os
4 4 1
Cartesian
0.000 0.000 0.000
2.078 1.185 2.577
4.728 2.053 4.563
4.722 3.257 1.472
2.853 4.565 1.877
3.595 0.140 3.950
3.447 1.523 0.758
7.785 3.282 5.078
6.254 3.308 3.254
```

## Properties
Density of states at the Fermi level, states/eV/cell: 0.0
Electronic total energy, eV per cell: -157.012

=====

[3]
A plane-wave DFT calculation with meta-GGA SCAN was carried out for a crystal of Si2POs relaxed with PBEsol.

Structure (POSCAR):
```
Si2POs
1.0
4.182 0.000 0.000
0.000 4.182 0.000
0.000 0.000 3.091
Si P Os
2 1 1
Cartesian
0.000 2.091 0.000
2.091 0.000 0.000
0.000 0.000 1.545
2.091 2.091 1.545
```

## Properties
Density of states at the Fermi level, states/eV/cell: 1.9
Electronic total energy, eV per cell: -100.044

=====

[4]
A plane-wave DFT calculation with meta-GGA SCAN was carried out for a crystal of SiP2Os relaxed with PBEsol.

Structure (POSCAR):
```
SiP2Os
1.0
3.589 -1.504 0.000
3.589 1.504 0.000
-2.031 0.000 5.335
Si P Os
1 2 1
Cartesian
0.000 0.000 0.000
0.483 0.000 3.857
4.665 0.000 1.478
2.574 0.000 2.667
```

## Properties
Density of states at the Fermi level, states/eV/cell: 1.3
Electronic total energy, eV per cell: -101.757

=====

[5]
A plane-wave DFT calculation with meta-GGA SCAN was carried out for a crystal of Sr2SnPOs relaxed with PBEsol.

Structure (POSCAR):
```
Sr2SnPOs
1.0
5.534 0.000 0.000
0.000 5.534 0.000
0.000 0.000 4.989
Sr Sn P Os
2 1 1 1
Cartesian
0.000 2.767 0.000
2.767 0.000 0.000
0.000 0.000 2.495
2.767 2.767 2.495
0.000 0.000 0.000
```

## Properties
Density of states at the Fermi level, states/eV/cell: 6.1
Energy of formation from the pure elements, eV/atom: 0.2234

=====

[6]
A plane-wave DFT calculation with meta-GGA SCAN was carried out for a crystal of SrPOs2 relaxed with PBEsol.

Structure (POSCAR):
```
SrPOs2
1.0
4.765 -1.500 0.000
4.765 1.500 0.000
-1.911 0.000 5.423
Sr P Os
1 1 2
Cartesian
0.000 0.000 0.000
6.927 0.000 1.716
0.989 0.000 3.089
3.716 0.000 2.766
```

## Properties
Density of states at the Fermi level, states/eV/cell: 3.4
Energy of formation from the pure elements, eV/atom: 0.0732

=====

[7]
A plane-wave DFT calculation with meta-GGA SCAN was carried out for a crystal of Sr2POs relaxed with PBEsol.

Structure (POSCAR):
```
Sr2POs
1.0
-2.283 2.283 4.214
2.283 -2.283 4.214
2.283 2.283 -4.214
Sr P Os
2 1 1
Cartesian
2.283 0.000 2.107
0.000 2.283 2.107
0.000 0.000 0.000
0.000 0.000 4.214
```

## Properties
Density of states at the Fermi level, states/eV/cell: 2.6
Energy of formation from the pure elements, eV/atom: 0.2864

=====

[8]
A plane-wave DFT calculation with meta-GGA SCAN was carried out for a crystal of Sr2POs relaxed with PBEsol.

Structure (POSCAR):
```
Sr2POs
1.0
3.352 -4.263 0.000
3.352 4.263 0.000
0.000 0.000 3.092
Sr P Os
2 1 1
Cartesian
1.676 2.132 0.000
1.676 -2.132 0.000
0.000 0.000 1.546
3.352 0.000 1.546
```

## Properties
Density of states at the Fermi level, states/eV/cell: 2.1
Energy of formation from the pure elements, eV/atom: 0.2653

=====

[9]
A plane-wave DFT calculation with meta-GGA SCAN was carried out for a crystal of SrP2Os relaxed with PBEsol.

Structure (POSCAR):
```
SrP2Os
1.0
3.073 0.000 0.000
0.000 3.073 0.000
0.000 0.000 7.060
Sr P Os
1 2 1
Cartesian
0.000 0.000 0.000
1.537 1.537 2.166
1.537 1.537 4.894
0.000 0.000 3.530
```

## Properties
Density of states at the Fermi level, states/eV/cell: 2.2
E above lowest polymorph, meV/atom: 460
Energy of formation from the pure elements, eV/atom: -0.0597

=====

[10]
A plane-wave DFT calculation with meta-GGA SCAN was carried out for a crystal of SrP2Os relaxed with PBEsol.

Structure (POSCAR):
```
SrP2Os
1.0
4.165 0.000 0.000
0.000 1.902 5.794
0.000 -1.902 5.794
Sr P Os
1 2 1
Cartesian
0.000 0.000 0.000
0.000 0.000 3.450
2.082 0.000 7.184
2.082 0.000 2.618
```

## Properties
Density of states at the Fermi level, states/eV/cell: 1.9
E above lowest polymorph, meV/atom: 0
Energy of formation from the pure elements, eV/atom: -0.5198

=====

[11]
A plane-wave DFT calculation with meta-GGA SCAN was carried out for a crystal of SrPOs2 relaxed with PBEsol.

Structure (POSCAR):
```
SrPOs2
1.0
-2.413 2.413 2.877
2.413 -2.413 2.877
2.413 2.413 -2.877
Sr P Os
1 1 2
Cartesian
0.000 0.000 0.000
2.413 0.000 1.438
0.000 0.000 2.877
0.000 2.413 1.438
```

## Properties
Density of states at the Fermi level, states/eV/cell: 3.8
Energy of formation from the pure elements, eV/atom: 0.9991

=====

[12]
A plane-wave DFT calculation with meta-GGA SCAN was carried out for a crystal of SrP2Os relaxed with PBEsol.

Structure (POSCAR):
```
SrP2Os
1.0
-2.005 2.928 3.434
2.005 -2.928 3.434
2.005 2.928 -3.434
Sr P Os
1 2 1
Cartesian
0.000 0.000 0.000
2.005 0.000 2.267
0.000 2.928 1.166
0.000 0.000 3.434
```

## Properties
Density of states at the Fermi level, states/eV/cell: 1.7
E above lowest polymorph, meV/atom: 170
Energy of formation from the pure elements, eV/atom: -0.3498

=====

[13]
A plane-wave DFT calculation with meta-GGA SCAN was carried out for a crystal of Sr2POs relaxed with PBEsol.

Structure (POSCAR):
```
Sr2POs
1.0
2.896 0.000 0.000
0.000 5.417 0.000
0.000 0.000 6.006
Sr P Os
2 1 1
Cartesian
0.000 0.000 0.000
1.448 2.709 3.003
0.000 0.000 3.003
1.448 2.709 0.000
```

## Properties
Density of states at the Fermi level, states/eV/cell: 4.3
Energy of formation from the pure elements, eV/atom: 0.4466

=====

[14]
A plane-wave DFT calculation with meta-GGA SCAN was carried out for a crystal of SrPOs2 relaxed with PBEsol.

Structure (POSCAR):
```
SrPOs2
1.0
2.884 0.000 0.000
0.000 3.654 0.000
0.000 0.000 6.798
Sr P Os
1 1 2
Cartesian
0.000 0.000 0.000
1.442 1.827 4.713
0.000 0.000 3.521
1.442 1.827 2.344
```

## Properties
Density of states at the Fermi level, states/eV/cell: 3.0
Energy of formation from the pure elements, eV/atom: 0.2630

=====

[15]
A plane-wave DFT calculation with meta-GGA SCAN was carried out for a crystal of SrP2Os2 relaxed with PBEsol.

Structure (POSCAR):
```
SrP2Os2
1.0
-2.026 2.026 5.491
2.026 -2.026 5.491
2.026 2.026 -5.491
Sr P Os
1 2 2
Cartesian
0.000 0.000 0.000
0.000 0.000 3.891
0.000 0.000 7.091
2.026 0.000 2.745
0.000 2.026 2.745
```

## Properties
Density of states at the Fermi level, states/eV/cell: 1.8
Energy of formation from the pure elements, eV/atom: -0.7286